Here is a geometry-optimized EuGdPdPb structure from the Alexandria database. Energies are from PBE.

For the density of states at the Fermi level, the calculation gives 3.47 states/eV per atom. The formation energy comes out at -0.56 eV per atom. The calculation puts the final energy at -141.97 eV per cell. As for the density: 9.6 g/cm³. Its size of the total moment is 3.526 μB per atom.

The structure belongs to space group F-43m (No. 216); the cell edges are 7.549, 7.549 and 7.549 Å and the angles 90.00°, 90.00° and 90.00°. Symmetry generates all atoms from Eu at (0.000, 0.000, 0.000), Gd at (0.000, 0.000, 0.500), Pd at (0.250, 0.250, 0.750) and Pb at (0.250, 0.250, 0.250).



Here is a geometry-optimized PmEuGdPb structure from the Alexandria database. Energies are from PBE.

For the density of states at the Fermi level, the calculation gives 1.71 states/eV per atom. The formation energy comes out at -0.10 eV per atom. The calculation puts the final energy at -132.79 eV per cell. As for the density: 8.7 g/cm³. Its size of the total moment is 0.297 μB per atom.

The structure belongs to space group F-43m (No. 216); the cell edges are 7.969, 7.969 and 7.969 Å and the angles 90.00°, 90.00° and 90.00°. Symmetry generates all atoms from Pm at (0.000, 0.000, 0.000), Eu at (0.250, 0.250, 0.750), Gd at (0.250, 0.250, 0.250) and Pb at (0.000, 0.000, 0.500).



Here is a geometry-optimized EuGdRhPb structure from the Alexandria database. Energies are from PBE.

For the density of states at the Fermi level, the calculation gives 2.46 states/eV per atom. The formation energy comes out at -0.40 eV per atom. The calculation puts the final energy at -148.09 eV per cell. As for the density: 10.0 g/cm³. Its size of the total moment is 0.052 μB per atom.

The structure belongs to space group F-43m (No. 216); the cell edges are 7.435, 7.435 and 7.435 Å and the angles 90.00°, 90.00° and 90.00°. Symmetry generates all atoms from Eu at (0.000, 0.000, 0.000), Gd at (0.000, 0.000, 0.500), Rh at (0.250, 0.250, 0.750) and Pb at (0.250, 0.250, 0.250).



Here is a geometry-optimized EuGdTlPb structure from the Alexandria database. Energies are from PBE.

For the density of states at the Fermi level, the calculation gives 0.70 states/eV per atom. The formation energy comes out at -0.44 eV per atom. The calculation puts the final energy at -128.80 eV per cell. As for the density: 10.0 g/cm³. Its size of the total moment is 3.588 μB per atom.

The structure belongs to space group F-43m (No. 216); the cell edges are 7.828, 7.828 and 7.828 Å and the angles 90.00°, 90.00° and 90.00°. Symmetry generates all atoms from Eu at (0.000, 0.000, 0.000), Gd at (0.000, 0.000, 0.500), Tl at (0.250, 0.250, 0.750) and Pb at (0.250, 0.250, 0.250).



Here is a geometry-optimized EuGdPd structure from the Alexandria database. Energies are from PBE.

For the density of states at the Fermi level, the calculation gives 3.65 states/eV per atom. The formation energy comes out at -0.42 eV per atom. The calculation puts the final energy at -30.80 eV per cell. As for the density: 7.1 g/cm³. Its size of the total moment is 0.042 μB per atom. The energy above the most stable polymorph in this dataset is 75.0 meV/atom.

The structure belongs to space group P3m1 (No. 156); the cell edges are 4.1051, 4.1051 and 6.6547 Å and the angles 90.00°, 90.00° and 120.00°. Symmetry generates all atoms from Eu at (0.0000, 0.0000, 0.0000), Gd at (0.3333, 0.6667, 0.5000) and Pd at (0.6667, 0.3333, 0.7271).



Here is a geometry-optimized Eu2GdPd structure from the Alexandria database. Energies are from PBE.

For the density of states at the Fermi level, the calculation gives 3.34 states/eV per atom. The formation energy comes out at -0.26 eV per atom. The calculation puts the final energy at -40.86 eV per cell. As for the density: 7.9 g/cm³. Its size of the total moment is 1.556 μB per atom.

The structure belongs to space group P4/mmm (No. 123); the cell edges are 3.726, 3.726 and 8.622 Å and the angles 90.00°, 90.00° and 90.00°. Symmetry generates all atoms from Eu at (0.000, 0.000, 0.195), Gd at (0.500, 0.500, 0.500) and Pd at (0.500, 0.500, 0.000).



Here is a geometry-optimized EuGdPd structure from the Alexandria database. Energies are from PBE.

For the density of states at the Fermi level, the calculation gives 1.81 states/eV per atom. The formation energy comes out at -0.42 eV per atom. The calculation puts the final energy at -123.23 eV per cell. As for the density: 7.7 g/cm³. Its size of the total moment is 4.796 μB per atom. The energy above the most stable polymorph in this dataset is 71.8 meV/atom.

The structure belongs to space group F-43m (No. 216); the cell edges are 7.090, 7.090 and 7.090 Å and the angles 90.00°, 90.00° and 90.00°. Symmetry generates all atoms from Eu at (0.000, 0.000, 0.000), Gd at (0.000, 0.000, 0.500) and Pd at (0.250, 0.250, 0.750).



Here is a geometry-optimized EuGdPd structure from the Alexandria database. Energies are from PBE.

For the density of states at the Fermi level, the calculation gives 1.32 states/eV per atom. The formation energy comes out at -0.49 eV per atom. The calculation puts the final energy at -62.05 eV per cell. As for the density: 8.1 g/cm³. Its size of the total moment is 0.034 μB per atom. The energy above the most stable polymorph in this dataset is 0.0 meV/atom.

The structure belongs to space group I4mm (No. 107); the cell edges are 3.632, 3.632 and 12.906 Å and the angles 90.00°, 90.00° and 90.00°. Symmetry generates all atoms from Eu at (0.000, 0.000, 0.000), Gd at (0.000, 0.000, 0.266) and Pd at (0.000, 0.000, 0.653).



Here is a geometry-optimized EuGdPd2 structure from the Alexandria database. Energies are from PBE.

For the density of states at the Fermi level, the calculation gives 2.12 states/eV per atom. The formation energy comes out at -0.74 eV per atom. The calculation puts the final energy at -150.73 eV per cell. As for the density: 9.4 g/cm³. Its size of the total moment is 0.001 μB per atom. The energy above the most stable polymorph in this dataset is 3.4 meV/atom.

The structure belongs to space group Fm-3m (No. 225); the cell edges are 7.164, 7.164 and 7.164 Å and the angles 90.00°, 90.00° and 90.00°. Symmetry generates all atoms from Eu at (0.000, 0.000, 0.000), Gd at (0.000, 0.000, 0.500) and Pd at (0.250, 0.250, 0.250).



Here is a geometry-optimized EuGdPd2 structure from the Alexandria database. Energies are from PBE.

For the density of states at the Fermi level, the calculation gives 2.21 states/eV per atom. The formation energy comes out at -0.74 eV per atom. The calculation puts the final energy at -37.70 eV per cell. As for the density: 9.5 g/cm³. Its size of the total moment is 0.021 μB per atom. The energy above the most stable polymorph in this dataset is 0.0 meV/atom.

The structure belongs to space group P4/mmm (No. 123); the cell edges are 5.051, 5.051 and 3.577 Å and the angles 90.00°, 90.00° and 90.00°. Symmetry generates all atoms from Eu at (0.000, 0.000, 0.000), Gd at (0.500, 0.500, 0.000) and Pd at (0.000, 0.500, 0.500).



Here is a geometry-optimized EuGdSbPd structure from the Alexandria database. Energies are from PBE.

For the density of states at the Fermi level, the calculation gives 0.74 states/eV per atom. The calculation puts the final energy at -147.79 eV per cell. As for the formation energy (no corrections): -819 meV/atom. As for the density: 8.5 g/cm³. Its size of the total moment is 0.031 μB per atom.

The structure belongs to space group F-43m (No. 216); the cell edges are 7.476, 7.476 and 7.476 Å and the angles 90.00°, 90.00° and 90.00°. Symmetry generates all atoms from Eu at (0.000, 0.000, 0.000), Gd at (0.000, 0.000, 0.500), Sb at (0.250, 0.250, 0.250) and Pd at (0.250, 0.250, 0.750).



Here is a geometry-optimized EuGdSiPd structure from the Alexandria database. Energies are from PBE.

For the density of states at the Fermi level, the calculation gives 2.40 states/eV per atom. The calculation puts the final energy at -149.39 eV per cell. As for the formation energy (no corrections): -594 meV/atom. As for the density: 7.9 g/cm³. Its size of the total moment is 0.053 μB per atom.

The structure belongs to space group F-43m (No. 216); the cell edges are 7.187, 7.187 and 7.187 Å and the angles 90.00°, 90.00° and 90.00°. Symmetry generates all atoms from Eu at (0.000, 0.000, 0.000), Gd at (0.000, 0.000, 0.500), Si at (0.250, 0.250, 0.250) and Pd at (0.250, 0.250, 0.750).



Here is a geometry-optimized EuGdSnPd structure from the Alexandria database. Energies are from PBE.

For the density of states at the Fermi level, the calculation gives 2.54 states/eV per atom. The formation energy comes out at -0.67 eV per atom. The calculation puts the final energy at -144.88 eV per cell. As for the density: 8.5 g/cm³. Its size of the total moment is 0.063 μB per atom.

The structure belongs to space group F-43m (No. 216); the cell edges are 7.466, 7.466 and 7.466 Å and the angles 90.00°, 90.00° and 90.00°. Symmetry generates all atoms from Eu at (0.000, 0.000, 0.000), Gd at (0.000, 0.000, 0.500), Sn at (0.250, 0.250, 0.250) and Pd at (0.250, 0.250, 0.750).



Here is a geometry-optimized PmEu2Gd structure from the Alexandria database. Energies are from PBE.

For the density of states at the Fermi level, the calculation gives 1.73 states/eV per atom. The formation energy comes out at 0.08 eV per atom. The calculation puts the final energy at -117.19 eV per cell. As for the density: 6.9 g/cm³. Its size of the total moment is 5.636 μB per atom. The energy above the most stable polymorph in this dataset is 0.0 meV/atom.

The structure belongs to space group R-3m (No. 166, hexagonal axes); the cell edges are 3.7123, 3.7123 and 36.7368 Å and the angles 90.00°, 90.00° and 120.00°. Symmetry generates all atoms from Pm at (0.0000, 0.0000, 0.0000), Eu at (0.0000, 0.0000, 0.2492) and Gd at (0.0000, 0.0000, 0.5000).



Here is a geometry-optimized Pm4EuGd structure from the Alexandria database. Energies are from PBE.

For the density of states at the Fermi level, the calculation gives 2.18 states/eV per atom. The formation energy comes out at 0.23 eV per atom. The calculation puts the final energy at -167.95 eV per cell. As for the density: 6.6 g/cm³. Its size of the total moment is 2.385 μB per atom.

The structure belongs to space group F-43m (No. 216); the cell edges are 9.613, 9.613 and 9.613 Å and the angles 90.00°, 90.00° and 90.00°. Symmetry generates all atoms from Pm at (0.123, 0.123, 0.377), Eu at (0.000, 0.000, 0.000) and Gd at (0.250, 0.250, 0.750).



Here is a geometry-optimized PmEu2Gd structure from the Alexandria database. Energies are from PBE.

For the density of states at the Fermi level, the calculation gives 1.95 states/eV per atom. The formation energy comes out at 0.14 eV per atom. The calculation puts the final energy at -155.21 eV per cell. As for the density: 6.9 g/cm³. Its size of the total moment is 5.465 μB per atom. The energy above the most stable polymorph in this dataset is 65.7 meV/atom.

The structure belongs to space group Fm-3m (No. 225); the cell edges are 8.376, 8.376 and 8.376 Å and the angles 90.00°, 90.00° and 90.00°. Symmetry generates all atoms from Pm at (0.000, 0.000, 0.000), Eu at (0.250, 0.250, 0.250) and Gd at (0.000, 0.000, 0.500).